[1]
Computed, not measured: a relaxed PaAg4Sn crystal at the GGA-PBE level of DFT.

Lattice parameters (Å, degrees): 7.983 7.983 7.983 90.00 90.00 90.00
Space group F-43m (No. 216)
One atom of each set of equivalent atoms:
Pa 0.000 0.000 0.000
Ag 0.125 0.125 0.375
Sn 0.250 0.250 0.750

Output
* E_form: 0.79 eV/f.u.
* crystal system: cubic


[2]
Computed, not measured: a relaxed ErThSi2 crystal at the GGA-PBE level of DFT.

Lattice parameters (Å, degrees): 4.5805 4.5805 15.9468 90.00 90.00 120.00
Space group R-3m (No. 166, hexagonal axes)
One atom of each set of equivalent atoms:
Er 0.0000 0.0000 0.0000
Th 0.0000 0.0000 0.5000
Si 0.0000 0.0000 0.2599

Output
* polymorph energy (0 for the lowest one): 203.4 meV/atom
* formation energy from raw total energies: -0.529 eV/atom
* crystal system: trigonal


[3]
Computed, not measured: a relaxed In2SiHgTe crystal at the GGA-PBE level of DFT.

Lattice parameters (Å, degrees): 5.453 5.453 5.741 90.00 90.00 90.00
Space group P4/mmm (No. 123)
One atom of each set of equivalent atoms:
In 0.000 0.500 0.000
Si 0.000 0.000 0.500
Hg 0.500 0.500 0.000
Te 0.500 0.500 0.500

Output
* formation energy from raw total energies: 0.782 eV/atom
* crystal system: tetragonal


[4]
Computed, not measured: a relaxed NdDy2Zn crystal at the GGA-PBE level of DFT.

Lattice parameters (Å, degrees): 3.592 3.592 8.707 90.00 90.00 90.00
Space group P4/mmm (No. 123)
One atom of each set of equivalent atoms:
Nd 0.000 0.000 0.000
Dy 0.500 0.500 0.298
Zn 0.000 0.000 0.500

Output
* E_form: -0.65 eV/f.u.
* polymorph energy (0 for the lowest one): 0.0 meV/atom
* crystal system: tetragonal


[5]
Computed, not measured: a relaxed Hg2IrCl crystal at the GGA-PBE level of DFT.

Lattice parameters (Å, degrees): 3.091 3.091 9.158 90.00 90.00 90.00
Space group P4mm (No. 99)
One atom of each set of equivalent atoms:
Hg 0.000 0.000 0.000
Hg 0.500 0.500 0.295
Ir 0.000 0.000 0.496
Cl 0.500 0.500 0.676

Output
* polymorph energy (0 for the lowest one): 390.7 meV/atom
* formation energy from raw total energies: 0.532 eV/atom
* crystal system: tetragonal


[6]
Computed, not measured: a relaxed SrCa2YP crystal at the GGA-PBE level of DFT.

Lattice parameters (Å, degrees): 5.761 5.761 5.511 90.00 90.00 90.00
Space group P4/mmm (No. 123)
One atom of each set of equivalent atoms:
Sr 0.000 0.000 0.000
Ca 0.000 0.500 0.500
Y 0.500 0.500 0.000
P 0.500 0.500 0.500

Output
* E_form: -2.14 eV/f.u.
* crystal system: tetragonal


[7]
Computed, not measured: a relaxed Na3PbS crystal at the GGA-PBE level of DFT.

Lattice parameters (Å, degrees): 5.317 5.317 5.317 90.00 90.00 90.00
Space group Pm-3m (No. 221)
One atom of each set of equivalent atoms:
Na 0.000 0.000 0.500
Pb 0.500 0.500 0.500
S 0.000 0.000 0.000

Output
* polymorph energy (0 for the lowest one): 0.0 meV/atom
* formation energy from raw total energies: -0.380 eV/atom
* crystal system: cubic


[8]
Computed, not measured: a relaxed SrAgOs crystal at the GGA-PBE level of DFT.

Lattice parameters (Å, degrees): 3.032 3.032 13.777 90.00 90.00 90.00
Space group I4mm (No. 107)
One atom of each set of equivalent atoms:
Sr 0.000 0.000 0.000
Ag 0.000 0.000 0.305
Os 0.000 0.000 0.667

Output
* E_form: 2.55 eV/f.u.
* polymorph energy (0 for the lowest one): 131.8 meV/atom
* crystal system: tetragonal


[9]
Computed, not measured: a relaxed BaHgRh2 crystal at the GGA-PBE level of DFT.

Lattice parameters (Å, degrees): 4.658 4.658 3.941 90.00 90.00 90.00
Space group P4/mmm (No. 123)
One atom of each set of equivalent atoms:
Ba 0.000 0.000 0.000
Hg 0.500 0.500 0.000
Rh 0.000 0.500 0.500

Output
* E_form: 0.82 eV/f.u.
* crystal system: tetragonal


[10]
Computed, not measured: a relaxed Pm6Nd2Sm5 crystal at the GGA-PBE level of DFT.

Lattice parameters (Å, degrees): 11.900 20.784 3.659 90.00 90.00 90.00
Space group Pbam (No. 55)
One atom of each set of equivalent atoms:
Pm 0.061 0.078 0.000
Pm 0.078 0.366 0.000
Pm 0.179 0.630 0.500
Nd 0.172 0.785 0.000
Sm 0.000 0.500 0.500
Sm 0.087 0.223 0.500
Sm 0.199 0.946 0.500

Output
* E_form: 1.21 eV/f.u.
* crystal system: orthorhombic


[11]
Computed, not measured: a relaxed In2AgPbCl5 crystal at the GGA-PBE level of DFT.

Lattice parameters (Å, degrees): 4.320 18.726 13.358 90.00 90.00 90.00
Space group Cmc2_1 (No. 36)
One atom of each set of equivalent atoms:
In 0.000 0.113 0.000
In 0.000 0.117 0.601
Ag 0.000 0.491 0.779
Pb 0.000 0.210 0.314
Cl 0.000 0.058 0.362
Cl 0.000 0.286 0.963
Cl 0.000 0.305 0.670
Cl 0.000 0.367 0.322
Cl 0.000 0.498 0.087

Output
* formation energy from raw total energies: -0.843 eV/atom
* crystal system: orthorhombic


[12]
Computed, not measured: a relaxed ScNbTl2P crystal at the GGA-PBE level of DFT.

Lattice parameters (Å, degrees): 5.458 5.458 5.058 90.00 90.00 90.00
Space group P4/mmm (No. 123)
One atom of each set of equivalent atoms:
Sc 0.000 0.000 0.000
Nb 0.000 0.000 0.500
Tl 0.000 0.500 0.500
P 0.500 0.500 0.000

Output
* E_form: 4.95 eV/f.u.
* crystal system: tetragonal


Density (computed, Mg/m³): 10.20 7.83 5.70 7.90 11.93 2.61 3.41 10.11 10.56 7.01 4.44 6.37
Calculated total energy (computed, eV/atom): -4.02 -6.24 -2.09 -3.97 -2.30 -3.94 -2.74 -4.40 -4.03 -4.65 -3.21 -4.32